BSeO2F after structural relaxation. Source: the Alexandria database, functional PBE.

```
BSeO2F
1.0
3.512 0.000 0.000
0.000 3.512 0.000
0.000 0.000 3.534
F O B Se
1 2 1 1
Direct
0.000 0.000 0.500
0.500 0.000 0.000
0.000 0.500 0.000
0.000 0.000 0.000
0.500 0.500 0.500
```

Values from the calculation:
Raw total energy, eV per atom: -4.575
Uncorrected formation energy, eV/atom: -0.18
Volume, A^3/atom: 8.72
Magnetic moment, μB/cell: 0.000

=====

Sr6HRh2I3 after structural relaxation. Source: the Alexandria database, functional PBE.

```
Sr6HRh2I3
1.0
7.499 0.004 0.005
-3.744 6.498 0.005
-1.247 -2.160 8.203
Sr Rh I H
6 2 3 1
Direct
0.728 0.728 0.193
0.065 0.401 0.194
0.599 0.935 0.806
0.401 0.065 0.194
0.272 0.272 0.807
0.935 0.599 0.806
0.333 0.667 0.000
0.667 0.333 0.000
0.500 0.500 0.500
0.165 0.835 0.500
0.835 0.165 0.500
0.000 0.000 0.000
```

Values from the calculation:
Raw total energy, eV per atom: -3.518
Volume, A^3/atom: 33.33
Magnetic moment, μB/cell: 0.000

=====

Hf6SnPt after structural relaxation. Source: the Alexandria database, functional PBE.

```
Hf6SnPt
1.0
7.760 0.013 0.130
3.869 6.730 0.071
3.823 2.244 3.235
Hf Pt Sn
6 1 1
Direct
0.244 0.000 0.256
0.001 0.499 0.745
0.999 0.501 0.255
0.756 0.000 0.744
0.501 0.244 0.256
0.499 0.756 0.744
0.000 0.000 0.000
0.500 0.500 0.500
```

Values from the calculation:
Raw total energy, eV per atom: -9.103
Volume, A^3/atom: 20.66
Magnetic moment, μB/cell: 0.000

=====

BaAcAlTe4 after structural relaxation. Source: the Alexandria database, functional PBE.

```
BaAcAlTe4
1.0
7.596 0.000 0.041
0.000 7.671 0.000
-2.918 0.000 9.036
Te Ac Ba Al
8 2 2 2
Direct
0.009 0.510 0.741
0.419 0.750 0.592
0.991 0.490 0.259
0.991 0.010 0.259
0.009 0.990 0.741
0.417 0.750 0.124
0.581 0.250 0.408
0.583 0.250 0.876
0.766 0.750 0.442
0.234 0.250 0.558
0.752 0.750 0.938
0.248 0.250 0.062
0.774 0.250 0.688
0.226 0.750 0.312
```

Values from the calculation:
Raw total energy, eV per atom: -4.442
Uncorrected formation energy, eV/atom: -1.25
Volume, A^3/atom: 37.68
Magnetic moment, μB/cell: 0.000

=====

PmNdO2 after structural relaxation. Source: the Alexandria database, functional PBE.

```
PmNdO2
1.0
-0.993 2.459 -2.697
0.547 -0.864 -3.642
-6.266 -2.229 -2.378
O Nd Pm
2 1 1
Direct
0.887 0.887 0.339
0.113 0.113 0.661
0.500 0.500 0.500
0.000 0.000 0.000
```

Values from the calculation:
Raw total energy, eV per atom: -7.602
Polymorph energy (0 for the lowest one), meV/atom: 0
Uncorrected formation energy, eV/atom: -2.74
Volume, A^3/atom: 20.81
Magnetic moment, μB/cell: 0.000

=====

Al2PtPb after structural relaxation. Source: the Alexandria database, functional PBE.

```
Al2PtPb
1.0
4.415 0.000 0.000
0.000 3.886 -0.029
0.000 1.945 4.760
Pb Pt Al
1 1 2
Direct
0.000 0.527 0.566
0.500 0.927 0.771
0.500 0.237 0.154
0.000 0.810 0.009
```

Values from the calculation:
Raw total energy, eV per atom: -4.530
Volume, A^3/atom: 20.48
Magnetic moment, μB/cell: 0.000

=====

ScU2Rh9 after structural relaxation. Source: the Alexandria database, functional PBE.

```
ScU2Rh9
1.0
3.999 0.000 0.000
0.000 3.999 0.000
0.000 0.000 11.928
Rh U Sc
9 2 1
Direct
0.500 0.500 0.333
0.000 0.500 0.500
0.500 0.500 0.667
0.500 0.000 0.167
0.500 0.500 0.000
0.500 0.000 0.833
0.000 0.500 0.833
0.500 0.000 0.500
0.000 0.500 0.167
0.000 0.000 0.328
0.000 0.000 0.672
0.000 0.000 0.000
```

Values from the calculation:
Raw total energy, eV per atom: -8.596
Volume, A^3/atom: 15.90
Magnetic moment, μB/cell: 0.000

=====

ZnGa4Ni15 after structural relaxation. Source: the Alexandria database, functional PBE.

```
ZnGa4Ni15
1.0
3.581 0.000 0.000
0.000 3.581 0.000
0.000 0.000 17.916
Ga Ni Zn
4 15 1
Direct
0.000 0.000 0.800
0.000 0.000 0.600
0.000 0.000 0.200
0.000 0.000 0.400
0.000 0.500 0.500
0.500 0.500 0.800
0.500 0.000 0.100
0.500 0.500 0.000
0.000 0.500 0.300
0.500 0.000 0.900
0.500 0.500 0.400
0.500 0.500 0.600
0.000 0.500 0.100
0.500 0.000 0.700
0.000 0.500 0.900
0.500 0.500 0.200
0.500 0.000 0.300
0.000 0.500 0.700
0.500 0.000 0.500
0.000 0.000 0.000
```

Values from the calculation:
Raw total energy, eV per atom: -5.255
Volume, A^3/atom: 11.49
Magnetic moment, μB/cell: 4.632